MnCu2I: relaxed, PBEsol.

```
data_MnCu2I
_cell_length_a 6.420
_cell_length_b 6.420
_cell_length_c 6.420
_cell_angle_alpha 90.00
_cell_angle_beta 90.00
_cell_angle_gamma 90.00
_space_group_name_H-M_alt 'F m -3 m'
_space_group_IT_number 225
_space_group_name_Hall '-F 4 2 3'
loop_
_atom_site_label
_atom_site_type_symbol
_atom_site_fract_x
_atom_site_fract_y
_atom_site_fract_z
_atom_site_occupancy
Mn1 Mn 0.000 0.000 0.000 1
Cu1 Cu 0.250 0.250 0.250 1
I1 I 0.000 0.000 0.500 1
```

calculated total energy = -68.00 eV for the cell shown
density of states at the Fermi level = 0.411 states/eV per atom
formation energy (no corrections) = 0.80 eV per atom